{
  "formula": "CrWOF2",
  "functional": "PBEsol",
  "state": "relaxed",
  "lattice": [[-1.817, 3.368, 0.043], [-1.444, -0.730, -3.884], [-3.409, -1.860, 1.618]],
  "species": ["O", "F", "F", "Cr", "W"],
  "frac_coords": [[0.500, 0.000, 0.000], [0.000, 0.000, 0.500], [0.000, 0.500, 0.000], [0.500, 0.500, 0.500], [0.000, 0.000, 0.000]],
  "magnetic_moment_mub_per_fu": 4.09,
  "e_tot_ev_per_cell": -37.1
}